[1]
Here is a relaxed MgHPb2 crystal from the Alexandria database. Energies are from PBE.

Output
**Energy above the most stable polymorph in this dataset**: 0.000 eV per atom
**Total DFT energy (no corrections)**: -2.73 eV per atom

Cell lengths 5.8763, 5.8763, 7.4659 Å; angles 66.83, 66.83, 90.00 degrees
Atoms (fractional coordinates):
1 Pb 0.2544 0.6250 0.2500
2 H 0.2500 0.7500 0.5000
3 Pb 0.3750 0.5044 0.7500
4 Mg 0.0000 0.0000 0.0000
5 Pb 0.8750 0.7456 0.7500
6 H 0.5000 0.5000 0.0000
7 Pb 0.4956 0.1250 0.2500
8 Mg 0.7500 0.2500 0.5000

***

[2]
Here is a relaxed NpInSb crystal from the Alexandria database. Energies are from PBE.

Output
**Energy above the most stable polymorph in this dataset**: 0.239 eV per atom
**Uncorrected formation energy**: 0.113 eV/atom
**Total DFT energy (no corrections)**: -6.49 eV per atom

Cell lengths 5.0676, 5.0676, 8.4041 Å; angles 72.45, 72.45, 60.00 degrees
Each line ends with the local moment (μB).
Atoms (fractional coordinates):
1 Sb 0.2879 0.2879 0.1362  -0.12
2 Np 0.5799 0.5799 0.2604  3.86
3 In 0.1549 0.1549 0.5352  0.01
4 Sb 0.7121 0.7121 0.8638  -0.12
5 Np 0.4201 0.4201 0.7396  3.86
6 In 0.8451 0.8451 0.4648  0.01

***

[3]
Here is a relaxed Nd3Al2Ge3 crystal from the Alexandria database. Energies are from PBE.

Output
**Energy above the most stable polymorph in this dataset**: 0.033 eV per atom
**Formation energy**: -14.6 kcal/mol of atoms
**Total DFT energy (no corrections)**: -5.09 eV per atom

Cell lengths 4.2841, 6.0406, 15.6017 Å; angles 90.00, 90.00, 110.77 degrees
Atoms (fractional coordinates):
1 Nd 0.4375 0.8749 0.7500
2 Al 0.8551 0.7102 0.8766
3 Ge 0.7090 0.4181 0.7500
4 Nd 0.8597 0.7194 0.4050
5 Ge 0.2910 0.5819 0.2500
6 Nd 0.1403 0.2806 0.9050
7 Nd 0.1403 0.2806 0.5950
8 Ge 0.5851 0.1701 0.0518
9 Al 0.1449 0.2898 0.3766
10 Al 0.8551 0.7102 0.6234
11 Nd 0.8597 0.7194 0.0950
12 Ge 0.5851 0.1701 0.4482
13 Nd 0.5625 0.1251 0.2500
14 Ge 0.4149 0.8299 0.9482
15 Ge 0.4149 0.8299 0.5518
16 Al 0.1449 0.2898 0.1234

***

[4]
Here is a relaxed OsSe2Cl crystal from the Alexandria database. Energies are from PBE.

Output
**Energy above the most stable polymorph in this dataset**: 0.268 eV per atom
**Uncorrected formation energy**: 0.260 eV/atom
**Total DFT energy (no corrections)**: -4.75 eV per atom

Cell lengths 6.9553, 6.9553, 6.9553 Å; angles 153.74, 141.35, 47.33 degrees
Atoms (fractional coordinates):
1 Se 0.7253 0.2253 0.5000
2 Se 0.1101 0.1101 0.0000
3 Cl 0.4101 0.4101 0.0000
4 Os 0.2545 0.7545 0.5000